# 1
# LiFeAu2 | Alexandria via LeMat-Bulk | GGA-PBEsol | relaxed
data_LiFeAu2
_symmetry_space_group_name_H-M 'P 4/m m m'
_symmetry_Int_Tables_number 123
_symmetry_space_group_name_Hall '-P 4 2'
_cell_length_a 4.601
_cell_length_b 4.601
_cell_length_c 2.734
_cell_angle_alpha 90.00
_cell_angle_beta 90.00
_cell_angle_gamma 90.00
loop_
_atom_site_label
_atom_site_type_symbol
_atom_site_fract_x
_atom_site_fract_y
_atom_site_fract_z
_atom_site_occupancy
Li1 Li 0.000 0.000 0.000 1
Fe1 Fe 0.500 0.500 0.000 1
Au1 Au 0.000 0.500 0.500 1
# E = -4.855 eV per atom
# total magnetic moment = 0.69 μB/atom
# N(E_F) = 0.6058 states/eV/atom
# formation energy from the elements = -160.9 meV/atom



# 2
# LiFe2Au | Alexandria via LeMat-Bulk | GGA-PBEsol | relaxed
data_LiFe2Au
_symmetry_space_group_name_H-M 'F -4 3 m'
_symmetry_Int_Tables_number 216
_symmetry_space_group_name_Hall 'F -4 2 3'
_cell_length_a 5.867
_cell_length_b 5.867
_cell_length_c 5.867
_cell_angle_alpha 90.00
_cell_angle_beta 90.00
_cell_angle_gamma 90.00
loop_
_atom_site_label
_atom_site_type_symbol
_atom_site_fract_x
_atom_site_fract_y
_atom_site_fract_z
_atom_site_occupancy
Li1 Li 0.000 0.000 0.000 1
Fe1 Fe 0.000 0.000 0.500 1
Fe2 Fe 0.250 0.250 0.750 1
Au1 Au 0.250 0.250 0.250 1
# E = -5.821 eV per atom
# total magnetic moment = 1.25 μB/atom
# N(E_F) = 1.0247 states/eV/atom
# formation energy from the elements = 133.0 meV/atom



# 3
# LiFeAu2 | Alexandria via LeMat-Bulk | GGA-PBEsol | relaxed
data_LiFeAu2
_symmetry_space_group_name_H-M 'R 3 m'
_symmetry_Int_Tables_number 160
_symmetry_space_group_name_Hall 'R 3 -2"'
_cell_length_a 2.7643
_cell_length_b 2.7643
_cell_length_c 27.5372
_cell_angle_alpha 90.00
_cell_angle_beta 90.00
_cell_angle_gamma 120.00
loop_
_atom_site_label
_atom_site_type_symbol
_atom_site_fract_x
_atom_site_fract_y
_atom_site_fract_z
_atom_site_occupancy
Li1 Li 0.0000 0.0000 0.0000 1
Fe1 Fe 0.0000 0.0000 0.2519 1
Au1 Au 0.0000 0.0000 0.5061 1
Au2 Au 0.0000 0.0000 0.7459 1
# E = -4.609 eV per atom
# total magnetic moment = 0.71 μB/atom
# N(E_F) = 0.6016 states/eV/atom
# formation energy from the elements = 85.8 meV/atom



# 4
# LiFe2Au | Alexandria via LeMat-Bulk | GGA-PBEsol | relaxed
data_LiFe2Au
_symmetry_space_group_name_H-M 'P 4/m m m'
_symmetry_Int_Tables_number 123
_symmetry_space_group_name_Hall '-P 4 2'
_cell_length_a 2.617
_cell_length_b 2.617
_cell_length_c 7.891
_cell_angle_alpha 90.00
_cell_angle_beta 90.00
_cell_angle_gamma 90.00
loop_
_atom_site_label
_atom_site_type_symbol
_atom_site_fract_x
_atom_site_fract_y
_atom_site_fract_z
_atom_site_occupancy
Li1 Li 0.000 0.000 0.000 1
Fe1 Fe 0.500 0.500 0.243 1
Au1 Au 0.000 0.000 0.500 1
# E = -5.594 eV per atom
# total magnetic moment = 1.32 μB/atom
# N(E_F) = 0.8579 states/eV/atom
# formation energy from the elements = 360.7 meV/atom



# 5
# LiFe2Au | Alexandria via LeMat-Bulk | GGA-PBEsol | relaxed
data_LiFe2Au
_symmetry_space_group_name_H-M 'I m m m'
_symmetry_Int_Tables_number 71
_symmetry_space_group_name_Hall '-I 2 2'
_cell_length_a 3.017
_cell_length_b 3.887
_cell_length_c 8.567
_cell_angle_alpha 90.00
_cell_angle_beta 90.00
_cell_angle_gamma 90.00
loop_
_atom_site_label
_atom_site_type_symbol
_atom_site_fract_x
_atom_site_fract_y
_atom_site_fract_z
_atom_site_occupancy
Li1 Li 0.000 0.000 0.000 1
Fe1 Fe 0.000 0.500 0.253 1
Au1 Au 0.000 0.000 0.500 1
# E = -5.864 eV per atom
# total magnetic moment = 1.27 μB/atom
# N(E_F) = 0.7700 states/eV/atom
# formation energy from the elements = 90.5 meV/atom



# 6
# Li3FeAu | Alexandria via LeMat-Bulk | GGA-PBEsol | relaxed
data_Li3FeAu
_symmetry_space_group_name_H-M 'P m -3 m'
_symmetry_Int_Tables_number 221
_symmetry_space_group_name_Hall '-P 4 2 3'
_cell_length_a 4.491
_cell_length_b 4.491
_cell_length_c 4.491
_cell_angle_alpha 90.00
_cell_angle_beta 90.00
_cell_angle_gamma 90.00
loop_
_atom_site_label
_atom_site_type_symbol
_atom_site_fract_x
_atom_site_fract_y
_atom_site_fract_z
_atom_site_occupancy
Li1 Li 0.000 0.000 0.500 1
Fe1 Fe 0.000 0.000 0.000 1
Au1 Au 0.500 0.500 0.500 1
# E = -2.952 eV per atom
# total magnetic moment = 0.48 μB/atom
# N(E_F) = 1.4050 states/eV/atom
# formation energy from the elements = 805.8 meV/atom



# 7
# MgFe2Au | Alexandria via LeMat-Bulk | GGA-PBEsol | relaxed
data_MgFe2Au
_symmetry_space_group_name_H-M 'P 4/m m m'
_symmetry_Int_Tables_number 123
_symmetry_space_group_name_Hall '-P 4 2'
_cell_length_a 3.709
_cell_length_b 3.709
_cell_length_c 4.055
_cell_angle_alpha 90.00
_cell_angle_beta 90.00
_cell_angle_gamma 90.00
loop_
_atom_site_label
_atom_site_type_symbol
_atom_site_fract_x
_atom_site_fract_y
_atom_site_fract_z
_atom_site_occupancy
Mg1 Mg 0.000 0.000 0.000 1
Fe1 Fe 0.000 0.500 0.500 1
Au1 Au 0.500 0.500 0.000 1
# E = -5.834 eV per atom
# total magnetic moment = 1.23 μB/atom
# N(E_F) = 0.8286 states/eV/atom
# formation energy from the elements = 57.8 meV/atom



# 8
# Mg2FeAu | Alexandria via LeMat-Bulk | GGA-PBEsol | relaxed
data_Mg2FeAu
_symmetry_space_group_name_H-M 'P 4/m m m'
_symmetry_Int_Tables_number 123
_symmetry_space_group_name_Hall '-P 4 2'
_cell_length_a 4.094
_cell_length_b 4.094
_cell_length_c 3.788
_cell_angle_alpha 90.00
_cell_angle_beta 90.00
_cell_angle_gamma 90.00
loop_
_atom_site_label
_atom_site_type_symbol
_atom_site_fract_x
_atom_site_fract_y
_atom_site_fract_z
_atom_site_occupancy
Mg1 Mg 0.000 0.500 0.000 1
Fe1 Fe 0.000 0.000 0.500 1
Au1 Au 0.500 0.500 0.500 1
# E = -4.155 eV per atom
# total magnetic moment = 0.53 μB/atom
# N(E_F) = 0.8286 states/eV/atom
# formation energy from the elements = -74.3 meV/atom



# 9
# MgFeAu2 | Alexandria via LeMat-Bulk | GGA-PBEsol | relaxed
data_MgFeAu2
_symmetry_space_group_name_H-M 'C 1 m 1'
_symmetry_Int_Tables_number 8
_symmetry_space_group_name_Hall 'C -2y'
_cell_length_a 9.332
_cell_length_b 2.917
_cell_length_c 4.724
_cell_angle_alpha 90.00
_cell_angle_beta 100.96
_cell_angle_gamma 90.00
loop_
_atom_site_label
_atom_site_type_symbol
_atom_site_fract_x
_atom_site_fract_y
_atom_site_fract_z
_atom_site_occupancy
Mg1 Mg 0.000 0.000 0.000 1
Fe1 Fe 0.256 0.500 0.306 1
Au1 Au 0.252 0.000 0.801 1
Au2 Au 0.497 0.000 0.487 1
# E = -4.718 eV per atom
# total magnetic moment = 0.73 μB/atom
# N(E_F) = 0.8213 states/eV/atom
# formation energy from the elements = -85.4 meV/atom



# 10
# MgFeAu | Alexandria via LeMat-Bulk | GGA-PBEsol | relaxed
data_MgFeAu
_symmetry_space_group_name_H-M 'P 3 m 1'
_symmetry_Int_Tables_number 156
_symmetry_space_group_name_Hall 'P 3 -2"'
_cell_length_a 4.4078
_cell_length_b 4.4078
_cell_length_c 2.7732
_cell_angle_alpha 90.00
_cell_angle_beta 90.00
_cell_angle_gamma 120.00
loop_
_atom_site_label
_atom_site_type_symbol
_atom_site_fract_x
_atom_site_fract_y
_atom_site_fract_z
_atom_site_occupancy
Mg1 Mg 0.0000 0.0000 0.0000 1
Fe1 Fe 0.3333 0.6667 0.6158 1
Au1 Au 0.6667 0.3333 0.3914 1
# E = -4.797 eV per atom
# total magnetic moment = 0.91 μB/atom
# N(E_F) = 0.7109 states/eV/atom
# formation energy from the elements = 71.1 meV/atom



# 11
# Mg3FeAu | Alexandria via LeMat-Bulk | GGA-PBEsol | relaxed
data_Mg3FeAu
_symmetry_space_group_name_H-M 'P m -3 m'
_symmetry_Int_Tables_number 221
_symmetry_space_group_name_Hall '-P 4 2 3'
_cell_length_a 4.755
_cell_length_b 4.755
_cell_length_c 4.755
_cell_angle_alpha 90.00
_cell_angle_beta 90.00
_cell_angle_gamma 90.00
loop_
_atom_site_label
_atom_site_type_symbol
_atom_site_fract_x
_atom_site_fract_y
_atom_site_fract_z
_atom_site_occupancy
Mg1 Mg 0.000 0.000 0.500 1
Fe1 Fe 0.000 0.000 0.000 1
Au1 Au 0.500 0.500 0.500 1
# E = -2.937 eV per atom
# total magnetic moment = 0.34 μB/atom
# N(E_F) = 1.2543 states/eV/atom
# formation energy from the elements = 670.5 meV/atom



# 12
# MgFeAu4 | Alexandria via LeMat-Bulk | GGA-PBEsol | relaxed
data_MgFeAu4
_symmetry_space_group_name_H-M 'F -4 3 m'
_symmetry_Int_Tables_number 216
_symmetry_space_group_name_Hall 'F -4 2 3'
_cell_length_a 7.580
_cell_length_b 7.580
_cell_length_c 7.580
_cell_angle_alpha 90.00
_cell_angle_beta 90.00
_cell_angle_gamma 90.00
loop_
_atom_site_label
_atom_site_type_symbol
_atom_site_fract_x
_atom_site_fract_y
_atom_site_fract_z
_atom_site_occupancy
Mg1 Mg 0.000 0.000 0.000 1
Fe1 Fe 0.250 0.250 0.750 1
Au1 Au 0.125 0.125 0.375 1
# E = -4.237 eV per atom
# total magnetic moment = 0.53 μB/atom
# N(E_F) = 1.1700 states/eV/atom
# formation energy from the elements = 159.6 meV/atom



# 13
# MgFe2Au | Alexandria via LeMat-Bulk | GGA-PBEsol | relaxed
data_MgFe2Au
_symmetry_space_group_name_H-M 'I -4 m 2'
_symmetry_Int_Tables_number 119
_symmetry_space_group_name_Hall 'I -4 -2'
_cell_length_a 3.875
_cell_length_b 3.875
_cell_length_c 7.447
_cell_angle_alpha 90.00
_cell_angle_beta 90.00
_cell_angle_gamma 90.00
loop_
_atom_site_label
_atom_site_type_symbol
_atom_site_fract_x
_atom_site_fract_y
_atom_site_fract_z
_atom_site_occupancy
Mg1 Mg 0.000 0.000 0.000 1
Fe1 Fe 0.000 0.000 0.500 1
Fe2 Fe 0.000 0.500 0.750 1
Au1 Au 0.000 0.500 0.250 1
# E = -5.801 eV per atom
# total magnetic moment = 1.24 μB/atom
# N(E_F) = 0.4198 states/eV/atom
# formation energy from the elements = 91.0 meV/atom



# 14
# MnFe2Au | Alexandria via LeMat-Bulk | GGA-PBEsol | relaxed
data_MnFe2Au
_symmetry_space_group_name_H-M 'I -4 m 2'
_symmetry_Int_Tables_number 119
_symmetry_space_group_name_Hall 'I -4 -2'
_cell_length_a 3.723
_cell_length_b 3.723
_cell_length_c 7.576
_cell_angle_alpha 90.00
_cell_angle_beta 90.00
_cell_angle_gamma 90.00
loop_
_atom_site_label
_atom_site_type_symbol
_atom_site_fract_x
_atom_site_fract_y
_atom_site_fract_z
_atom_site_occupancy
Mn1 Mn 0.000 0.000 0.000 1
Fe1 Fe 0.000 0.000 0.500 1
Fe2 Fe 0.000 0.500 0.750 1
Au1 Au 0.000 0.500 0.250 1
# E = -7.650 eV per atom
# total magnetic moment = 2.12 μB/atom
# N(E_F) = 0.9934 states/eV/atom
# formation energy from the elements = 252.8 meV/atom



# 15
# MnFeAu3 | Alexandria via LeMat-Bulk | GGA-PBEsol | relaxed
data_MnFeAu3
_symmetry_space_group_name_H-M 'P m -3 m'
_symmetry_Int_Tables_number 221
_symmetry_space_group_name_Hall '-P 4 2 3'
_cell_length_a 4.692
_cell_length_b 4.692
_cell_length_c 4.692
_cell_angle_alpha 90.00
_cell_angle_beta 90.00
_cell_angle_gamma 90.00
loop_
_atom_site_label
_atom_site_type_symbol
_atom_site_fract_x
_atom_site_fract_y
_atom_site_fract_z
_atom_site_occupancy
Mn1 Mn 0.000 0.000 0.000 1
Fe1 Fe 0.500 0.500 0.500 1
Au1 Au 0.000 0.500 0.500 1
# E = -5.111 eV per atom
# total magnetic moment = 1.57 μB/atom
# N(E_F) = 0.5517 states/eV/atom
# formation energy from the elements = 988.1 meV/atom